(1)
{
  "formula": "LiPtSe2",
  "functional": "PBE",
  "state": "relaxed",
  "cell": [[0.969, -3.100, 7.133], [1.955, -5.930, 4.737], [4.482, -3.173, 5.593]],
  "species": ["Se", "Se", "Pt", "Li"],
  "fractional_positions": [[0.891, 0.891, 0.891], [0.109, 0.109, 0.109], [0.500, 0.500, 0.500], [0.000, 0.000, 0.000]],
  "dos_ef_per_ev_atom": 0.81,
  "formation_energy_uncorrected_ev_per_atom": -0.42,
  "space_group": "R-3m (166)"
}

***

(2)
{
  "formula": "BHPd6Au2",
  "functional": "PBE",
  "state": "relaxed",
  "cell": [[5.828, 0.006, -0.015], [0.006, 5.828, -0.015], [-2.921, -2.921, 4.122]],
  "species": ["B", "H", "Pd", "Pd", "Pd", "Pd", "Pd", "Pd", "Au", "Au"],
  "fractional_positions": [[0.000, 0.000, 0.000], [0.500, 0.501, 0.000], [0.747, 0.748, 0.000], [0.746, 0.747, 0.491], [0.252, 0.253, 0.999], [0.747, 0.253, 0.000], [0.254, 0.254, 0.508], [0.253, 0.748, 0.000], [0.749, 0.251, 0.500], [0.250, 0.750, 0.500]],
  "dos_ef_per_ev_atom": 0.24,
  "dft_energy_ev_per_cell": -49.6,
  "space_group": "C2/m (12)"
}

***

(3)
{
  "formula": "I2ClO3",
  "functional": "PBE",
  "state": "relaxed",
  "cell": [[-4.278, 3.491, 1.398], [-1.010, -5.983, -4.696], [2.017, -11.919, 2.962]],
  "species": ["I", "I", "I", "I", "Cl", "Cl", "O", "O", "O", "O", "O", "O"],
  "fractional_positions": [[0.892, 0.412, 0.240], [0.108, 0.588, 0.760], [0.631, 0.105, 0.664], [0.369, 0.895, 0.336], [0.867, 0.746, 0.963], [0.133, 0.254, 0.037], [0.057, 0.383, 0.705], [0.764, 0.158, 0.388], [0.706, 0.605, 0.659], [0.294, 0.395, 0.341], [0.236, 0.842, 0.612], [0.943, 0.617, 0.295]],
  "dos_ef_per_ev_atom": 0.36,
  "formation_energy_uncorrected_ev_per_atom": -0.06,
  "space_group": "P-1 (2)"
}

***

(4)
{
  "formula": "YMg3Hg",
  "functional": "PBE",
  "state": "relaxed",
  "cell": [[6.202, 0.000, 0.000], [0.000, 6.202, 0.000], [0.000, 0.000, 6.202]],
  "species": ["Y", "Mg", "Mg", "Mg", "Hg"],
  "fractional_positions": [[0.000, 0.000, 0.000], [0.000, 0.500, 0.000], [0.000, 0.000, 0.500], [0.500, 0.000, 0.000], [0.500, 0.500, 0.500]],
  "dos_ef_per_ev_atom": 1.65,
  "polymorph_energy_mev_per_atom": 784,
  "space_group": "Pm-3m (221)",
  "ef_mev_per_atom": 931
}

***

(5)
{
  "formula": "BaTlGa",
  "functional": "PBE",
  "state": "relaxed",
  "cell": [[-4.968, 3.884, -1.718], [-4.256, -0.632, 2.953], [4.123, 4.520, 2.300]],
  "species": ["Tl", "Tl", "Ba", "Ba", "Ga", "Ga"],
  "fractional_positions": [[0.026, 0.542, 0.803], [0.231, 0.837, 0.597], [0.238, 0.141, 0.215], [0.643, 0.237, 0.810], [0.839, 0.865, 0.262], [0.690, 0.514, 0.412]],
  "dos_ef_per_ev_atom": 0.21,
  "space_group": "Ima2 (46)",
  "ef_mev_per_atom": -386
}

***

(6)
{
  "formula": "LiCu2P",
  "functional": "PBE",
  "state": "relaxed",
  "cell": [[4.814, 0.141, 0.171], [3.996, 2.687, 0.171], [0.992, 0.318, 4.249]],
  "species": ["Cu", "Cu", "Li", "P"],
  "fractional_positions": [[0.974, 0.974, 0.974], [0.720, 0.720, 0.805], [0.530, 0.530, 0.441], [0.276, 0.276, 0.280]],
  "dos_ef_per_ev_atom": 0.07,
  "space_group": "Cm (8)",
  "ef_mev_per_atom": -74
}

***

(7)
{
  "formula": "Sn2PSe6",
  "functional": "PBE",
  "state": "relaxed",
  "cell": [[6.326, 0.552, 0.534], [2.397, 9.793, -0.377], [2.397, -0.059, 9.800]],
  "species": ["Sn", "Sn", "Sn", "Sn", "P", "P", "Se", "Se", "Se", "Se", "Se", "Se", "Se", "Se", "Se", "Se", "Se", "Se"],
  "fractional_positions": [[0.034, 0.660, 0.838], [0.466, 0.162, 0.340], [0.966, 0.340, 0.162], [0.534, 0.838, 0.660], [0.250, 0.249, 0.751], [0.750, 0.751, 0.249], [0.120, 0.840, 0.656], [0.380, 0.344, 0.160], [0.880, 0.160, 0.344], [0.620, 0.656, 0.840], [0.904, 0.763, 0.420], [0.596, 0.580, 0.237], [0.096, 0.237, 0.580], [0.404, 0.420, 0.763], [0.087, 0.738, 0.077], [0.413, 0.923, 0.262], [0.913, 0.262, 0.923], [0.587, 0.077, 0.738]],
  "dos_ef_per_ev_atom": 0.29,
  "formation_energy_uncorrected_ev_per_atom": -0.17,
  "space_group": "C2/c (15)"
}

***

(8)
{
  "formula": "Cu5Te6",
  "functional": "PBE",
  "state": "relaxed",
  "cell": [[-5.452, -3.867, 0.414], [0.198, -5.696, 3.575], [-3.710, 1.841, 5.277]],
  "species": ["Cu", "Cu", "Cu", "Cu", "Cu", "Te", "Te", "Te", "Te", "Te", "Te"],
  "fractional_positions": [[0.500, 0.000, 0.500], [0.337, 0.327, 0.000], [0.663, 0.673, 0.000], [0.171, 0.657, 0.500], [0.829, 0.343, 0.500], [0.745, 0.000, 0.730], [0.255, 0.000, 0.270], [0.429, 0.656, 0.753], [0.916, 0.656, 0.247], [0.571, 0.344, 0.247], [0.084, 0.344, 0.753]],
  "dos_ef_per_ev_atom": 0.53,
  "formation_energy_uncorrected_ev_per_atom": 0.02,
  "space_group": "C2/m (12)"
}

***

(9)
{
  "formula": "RbHg2BiAs",
  "functional": "PBE",
  "state": "relaxed",
  "cell": [[6.067, 0.000, 0.000], [0.000, 5.622, 0.000], [0.000, 0.000, 6.067]],
  "species": ["As", "Bi", "Rb", "Hg", "Hg"],
  "fractional_positions": [[0.000, 0.500, 0.000], [0.000, 0.000, 0.000], [0.500, 0.500, 0.500], [0.000, 0.000, 0.500], [0.500, 0.000, 0.000]],
  "dos_ef_per_ev_atom": 0.58,
  "space_group": "P4/mmm (123)",
  "ef_mev_per_atom": 64
}

***

(10)
{
  "formula": "AuCSeBr2",
  "functional": "PBE",
  "state": "relaxed",
  "cell": [[-1.544, -4.918, 0.960], [4.960, -1.643, -0.437], [0.708, 0.777, 5.118]],
  "species": ["C", "Au", "Se", "Br", "Br"],
  "fractional_positions": [[0.500, 0.500, 0.500], [0.000, 0.000, 0.000], [0.000, 0.000, 0.500], [0.000, 0.500, 0.000], [0.500, 0.000, 0.000]],
  "dos_ef_per_ev_atom": 0.79,
  "polymorph_energy_mev_per_atom": 415,
  "formation_energy_uncorrected_ev_per_atom": 1.68,
  "space_group": "P4/mmm (123)"
}

***

(11)
{
  "formula": "PmSm6Dy2Er",
  "functional": "PBE",
  "state": "relaxed",
  "cell": [[-7.753, -4.161, 3.876], [3.768, -7.752, -2.200], [2.504, 3.781, 7.653]],
  "species": ["Pm", "Pm", "Sm", "Sm", "Sm", "Sm", "Sm", "Sm", "Sm", "Sm", "Sm", "Sm", "Sm", "Sm", "Dy", "Dy", "Dy", "Dy", "Er", "Er"],
  "fractional_positions": [[0.250, 0.974, 0.026], [0.750, 0.026, 0.974], [0.055, 0.120, 0.757], [0.445, 0.243, 0.880], [0.945, 0.880, 0.243], [0.555, 0.757, 0.120], [0.314, 0.988, 0.435], [0.186, 0.565, 0.012], [0.686, 0.012, 0.565], [0.814, 0.435, 0.988], [0.118, 0.708, 0.490], [0.382, 0.510, 0.292], [0.882, 0.292, 0.510], [0.618, 0.490, 0.708], [0.454, 0.798, 0.697], [0.046, 0.303, 0.202], [0.546, 0.202, 0.303], [0.954, 0.697, 0.798], [0.250, 0.411, 0.589], [0.750, 0.589, 0.411]],
  "dos_ef_per_ev_atom": 1.40,
  "space_group": "C2/c (15)",
  "ef_mev_per_atom": 117
}

***

(12)
{
  "formula": "BaBeRe2",
  "functional": "PBE",
  "state": "relaxed",
  "cell": [[-2.803, 0.311, -0.320], [0.389, -1.242, -4.619], [-0.747, -5.327, 1.369]],
  "species": ["Re", "Re", "Ba", "Be"],
  "fractional_positions": [[0.000, 0.000, 0.000], [0.500, 0.500, 0.000], [0.500, 0.000, 0.500], [0.000, 0.500, 0.500]],
  "dos_ef_per_ev_atom": 0.74,
  "space_group": "Pmmm (47)",
  "ef_mev_per_atom": 1433
}

***

What did the eighth record say?
{
  "formula": "Cu5Te6",
  "functional": "PBE",
  "state": "relaxed",
  "cell": [[-5.452, -3.867, 0.414], [0.198, -5.696, 3.575], [-3.710, 1.841, 5.277]],
  "species": ["Cu", "Cu", "Cu", "Cu", "Cu", "Te", "Te", "Te", "Te", "Te", "Te"],
  "fractional_positions": [[0.500, 0.000, 0.500], [0.337, 0.327, 0.000], [0.663, 0.673, 0.000], [0.171, 0.657, 0.500], [0.829, 0.343, 0.500], [0.745, 0.000, 0.730], [0.255, 0.000, 0.270], [0.429, 0.656, 0.753], [0.916, 0.656, 0.247], [0.571, 0.344, 0.247], [0.084, 0.344, 0.753]],
  "dos_ef_per_ev_atom": 0.53,
  "formation_energy_uncorrected_ev_per_atom": 0.02,
  "space_group": "C2/m (12)"
}